Record 1
3
Lattice="-2.063 -4.752 1.861 -5.436 -0.572 0.654 -2.850 -3.276 -3.384" Properties=species:S:1:pos:R:3 comment="PmSmY (PBE, relaxed)" de_polymorph_kj_per_mol_fu=0 e_form_ev_per_atom=0.729 m_tot_mub_per_cell=0.00 pbc="T T T"
Pm -2.587 -2.150 -0.217
Sm 0.000 0.000 0.000
Y -7.761 -6.450 -0.652

***

Record 2
24
Lattice="-6.806 -3.668 -7.782 -1.943 -2.286 2.777 -8.883 10.804 2.677" Properties=species:S:1:pos:R:3 comment="Er2CuTe3 (PBE, relaxed)" energy_ha_per_atom=-0.172 m_tot_mub_per_cell=0.07 pbc="T T T"
Cu -4.068 0.962 -0.550
Cu -7.966 -0.271 -4.293
Cu -9.667 5.121 1.964
Cu -13.565 3.888 -1.778
Er -3.147 -2.323 0.400
Er -6.910 -0.826 -1.002
Er -10.394 -2.562 -4.868
Er -10.648 0.826 -2.257
Er -6.985 4.023 -0.072
Er -7.239 7.411 2.540
Er -10.723 5.676 -1.327
Er -14.486 7.173 -2.728
Te -4.133 -1.031 -2.236
Te -1.713 0.392 0.628
Te -7.805 -2.757 -3.217
Te -6.133 1.183 1.196
Te -7.707 1.708 -2.482
Te -10.261 0.449 -5.306
Te -7.372 4.401 2.978
Te -9.926 3.142 0.154
Te -11.500 3.667 -3.524
Te -9.828 7.607 0.889
Te -15.920 4.458 -2.957
Te -13.499 5.880 -0.092

***

Record 3
9
Lattice="-2.428 -1.443 -5.765 -1.478 -4.240 -4.588 -6.442 0.981 7.536" Properties=species:S:1:pos:R:3 comment="Mo2PdS6 (PBE, relaxed)" energy_ha_per_atom=-0.228 m_tot_mub_per_cell=0.00 pbc="T T T"
Mo -4.500 -3.548 -4.797
Mo -5.848 -1.155 1.980
Pd 0.000 0.000 0.000
S -1.718 -1.096 -1.216
S -1.627 0.164 1.705
S -4.269 -1.450 0.002
S -6.079 -3.253 -2.819
S -8.721 -4.867 -4.522
S -8.630 -3.607 -1.601

***

Record 4
4
Lattice="-3.356 -1.715 2.291 -2.630 2.635 2.366 -4.153 0.716 -1.302" Properties=species:S:1:pos:R:3 comment="HgBMo2 (PBE, relaxed)" energy_ha_per_atom=-0.219 m_tot_mub_per_cell=0.01 pbc="T T T"
B -5.070 0.818 1.678
Hg -2.535 0.409 0.839
Mo 0.000 0.000 0.000
Mo -7.604 1.227 2.517

***

Record 5
24
Lattice="13.554 0.000 0.000 0.000 4.021 0.000 0.000 0.000 10.789" Properties=species:S:1:pos:R:3 comment="SrScAuSe3 (PBE, relaxed)" de_polymorph_kj_per_mol_fu=31 m_tot_mub_per_cell=0.01 pbc="T T T"
Au 10.934 3.016 2.343
Au 4.157 3.016 3.052
Au 9.397 1.005 7.738
Au 2.620 1.005 8.446
Sc 0.218 1.005 1.777
Sc 6.995 1.005 3.618
Sc 6.560 3.016 7.171
Sc 13.337 3.016 9.013
Se 1.499 3.016 0.366
Se 6.338 3.016 1.830
Se 9.257 1.005 1.970
Se 2.480 1.005 3.424
Se 13.115 3.016 3.564
Se 8.276 3.016 5.029
Se 5.278 1.005 5.760
Se 0.439 1.005 7.225
Se 11.074 3.016 7.365
Se 4.297 3.016 8.819
Se 7.216 1.005 8.959
Se 12.055 1.005 10.424
Sr 4.121 1.005 0.505
Sr 10.898 1.005 4.890
Sr 2.656 3.016 5.899
Sr 9.433 3.016 10.284

***

Record 6
7
Lattice="-1.765 1.765 5.890 1.765 -1.765 5.890 1.765 1.765 -5.890" Properties=species:S:1:pos:R:3 comment="Cd2SiO4 (PBE, relaxed)" de_polymorph_kj_per_mol_fu=99 pbc="T T T"
Cd 0.000 0.000 4.092
Cd 0.000 0.000 7.689
O 0.000 0.000 1.842
O 0.000 0.000 9.938
O 0.000 1.765 0.000
O 1.765 0.000 0.000
Si 0.000 0.000 0.000

***

Record 7
4
Lattice="3.478 -1.272 -2.464 1.375 -4.229 0.109 -0.620 -2.632 -3.532" Properties=species:S:1:pos:R:3 comment="MgBeGaAu (PBE, relaxed)" de_polymorph_kj_per_mol_fu=0 pbc="T T T"
Au 3.175 -6.099 -4.415
Be 0.000 0.000 0.000
Ga 1.058 -2.033 -1.472
Mg 2.117 -4.066 -2.943

***

Record 8
8
Lattice="-2.926 -2.097 -3.115 -2.824 -1.373 3.577 -3.581 5.856 -0.579" Properties=species:S:1:pos:R:3 comment="Na2GaAg2SnAu2 (PBE, relaxed)" energy_ha_per_atom=-0.107 pbc="T T T"
Ag -2.248 0.681 1.654
Ag -4.208 3.440 -2.001
Au -2.290 0.304 -1.691
Au -4.166 3.817 1.344
Ga 0.000 0.000 0.000
Na -2.875 -1.735 0.231
Na -1.791 2.928 -0.289
Sn -4.665 1.193 -0.058